## La12Hg6Pd (PBE)

Data for an optimized crystal structure of La12Hg6Pd.

Cell: 8.579 8.579 8.579 Å, 94.02 94.02 94.02°
Element x y z (fractional)
Hg1 0.147 0.739 0.339
Hg2 0.853 0.261 0.661
La1 0.670 0.026 0.915
La2 0.915 0.670 0.026
La3 0.974 0.085 0.330
Hg3 0.261 0.661 0.853
La4 0.194 0.429 0.539
La5 0.026 0.915 0.670
La6 0.571 0.461 0.806
Pd1 0.000 0.000 0.000
La7 0.085 0.330 0.974
Hg4 0.739 0.339 0.147
La8 0.461 0.806 0.571
La9 0.806 0.571 0.461
Hg5 0.661 0.853 0.261
Hg6 0.339 0.147 0.739
La10 0.539 0.194 0.429
La11 0.429 0.539 0.194
La12 0.330 0.974 0.085

Formation enthalpy at 0 K, kcal/mol of atoms: -6.614
Total moment, μB per formula unit: 0.000
Space-group type: R-3, No. 148

## Sm2UO (PBE)

Data for an optimized crystal structure of Sm2UO.

Cell: 3.310 3.310 9.716 Å, 80.19 80.19 60.00°
Element x y z (fractional)
Sm1 0.114 0.114 0.659
U1 0.000 0.000 0.000
Sm2 0.886 0.886 0.341
O1 0.500 0.500 0.500

Total moment, μB per formula unit: 1.816
Energy relative to the elements, uncorrected, eV per atom: -0.829
Space-group type: R-3m, No. 166

## ScIr2 (PBE)

Data for an optimized crystal structure of ScIr2.

Cell: 5.272 5.272 6.751 Å, 77.06 77.06 31.67°
Element x y z (fractional)
Ir1 0.995 0.995 0.000
Ir2 0.676 0.676 0.665
Sc1 0.960 0.960 0.593
Ir3 0.331 0.331 0.330
Ir4 0.608 0.608 0.281
Sc2 0.263 0.263 0.965

Formation enthalpy at 0 K, kcal/mol of atoms: -11.594
Total moment, μB per formula unit: 0.000
Space-group type: Cm, No. 8

## PrNdSc2 (PBE)

Data for an optimized crystal structure of PrNdSc2.

Cell: 3.503 3.503 11.359 Å, 81.13 81.13 60.00°
Element x y z (fractional)
Pr1 0.667 0.667 0.000
Nd1 0.500 0.500 0.499
Sc1 0.250 0.250 0.249
Sc2 0.083 0.083 0.751

Formation enthalpy at 0 K, kcal/mol of atoms: 2.063
Total moment, μB per formula unit: 0.000
Energy above the lowest structure with this stoichiometry, kJ/mol of formula units: 15
Space-group type: R3m, No. 160

## AcAl3Ag3 (PBE)

Data for an optimized crystal structure of AcAl3Ag3.

Cell: 6.885 6.885 8.689 Å, 66.66 66.66 60.00°
Element x y z (fractional)
Al1 0.263 0.936 0.385
Al2 0.416 0.263 0.385
Ag1 0.699 0.875 0.258
Al3 0.584 0.737 0.615
Ac1 0.666 0.666 0.002
Ag2 0.875 0.168 0.258
Ag3 0.832 0.301 0.742
Ag4 0.168 0.699 0.258
Al4 0.064 0.584 0.615
Al5 0.936 0.416 0.385
Al6 0.737 0.064 0.615
Ac2 0.334 0.334 0.998
Ag5 0.301 0.125 0.742
Ag6 0.125 0.832 0.742

Formation enthalpy at 0 K, kcal/mol of atoms: -0.558
Total moment, μB per formula unit: 0.000
Energy above the lowest structure with this stoichiometry, kJ/mol of formula units: 142
Space-group type: R-3, No. 148

## PmPaCoBr (PBE)

Data for an optimized crystal structure of PmPaCoBr.

Cell: 3.944 3.944 16.209 Å, 83.01 83.01 60.00°
Element x y z (fractional)
Br1 0.707 0.707 0.880
Co1 0.880 0.880 0.360
Br2 0.293 0.293 0.120
Pa1 0.811 0.811 0.568
Co2 0.120 0.120 0.640
Pa2 0.189 0.189 0.432
Pm1 0.414 0.414 0.757
Pm2 0.586 0.586 0.243

Total moment, μB per formula unit: 0.000
Energy relative to the elements, uncorrected, eV per atom: -0.736
Space-group type: R-3m, No. 166

## La2Zn15Pd2 (PBE)

Data for an optimized crystal structure of La2Zn15Pd2.

Cell: 6.898 6.898 6.898 Å, 82.78 82.78 82.78°
Element x y z (fractional)
Zn1 0.652 0.652 0.155
La1 0.661 0.661 0.661
Zn2 0.652 0.155 0.652
Zn3 0.155 0.652 0.652
Zn4 0.717 0.000 0.283
Zn5 0.000 0.717 0.283
Zn6 0.000 0.000 0.500
Zn7 0.845 0.348 0.348
Zn8 0.000 0.283 0.717
Zn9 0.348 0.348 0.845
Zn10 0.717 0.283 0.000
Zn11 0.500 0.000 0.000
Pd1 0.891 0.891 0.891
Zn12 0.000 0.500 0.000
Pd2 0.109 0.109 0.109
Zn13 0.283 0.000 0.717
Zn14 0.283 0.717 0.000
La2 0.339 0.339 0.339
Zn15 0.348 0.845 0.348

Formation enthalpy at 0 K, kcal/mol of atoms: -8.010
Total moment, μB per formula unit: 0.000
Space-group type: R-3m, No. 166

## NaNdNp4N8 (PBE)

Data for an optimized crystal structure of NaNdNp4N8.

Cell: 6.904 6.904 6.676 Å, 58.86 58.86 60.00°
Element x y z (fractional)
N1 0.234 0.234 0.297
N2 0.743 0.215 0.299
N3 0.759 0.759 0.722
N4 0.249 0.249 0.694
Np1 0.615 0.615 0.155
N5 0.743 0.743 0.299
N6 0.809 0.249 0.694
Np2 0.001 0.001 0.501
Np3 0.498 0.001 0.501
Np4 0.001 0.498 0.501
Nd1 0.385 0.385 0.844
N7 0.249 0.809 0.694
Na1 0.999 0.999 0.003
N8 0.215 0.743 0.299

Total moment, μB per formula unit: 8.000
Energy relative to the elements, uncorrected, eV per atom: -0.930
Space-group type: R3m, No. 160